[1]
The following is a PBE calculation of BiSCl2F after structural relaxation, from Alexandria.

a = 5.3908 Å, b = 5.3908 Å, c = 3.6925 Å
α = 90.00°, β = 90.00°, γ = 90.00°
Last column: nearest neighbours and their distance in Å.
Atoms (fractional coordinates):
Bi 0.0000 0.0000 0.0000  8 Cl 3.27
S 0.5000 0.5000 0.0000  2 F 1.85
Cl 0.0000 0.5000 0.5000  2 F 2.70
Cl 0.5000 0.0000 0.5000  2 F 2.70
F 0.5000 0.5000 0.5000  2 S 1.85

VASP energy = -13.63 eV/f.u.
Density of states at the Fermi level = 0.890 states/eV per atom
Offset from the most stable computed form = 506 meV/atom


[2]
The following is a PBE calculation of SrMoPd after structural relaxation, from Alexandria.

a = 5.5136 Å, b = 5.5136 Å, c = 9.5532 Å
α = 90.00°, β = 90.00°, γ = 120.00°
Last column: nearest neighbours and their distance in Å.
Atoms (fractional coordinates):
Sr 0.3333 0.6667 0.2500  3 Mo 3.18
Sr 0.6667 0.3333 0.7500  3 Mo 3.18
Mo 0.0000 0.0000 0.2500  2 Pd 2.39
Mo 0.0000 0.0000 0.7500  2 Pd 2.39
Pd 0.0000 0.0000 0.0000  2 Mo 2.39
Pd 0.0000 0.0000 0.5000  2 Mo 2.39

Energy of formation = 151 kJ per mole of atoms
VASP energy = -13.00 eV/f.u.
Density of states at the Fermi level = 0.989 states/eV per atom
Offset from the most stable computed form = 1505 meV/atom


- What is the formula in the second record?
  SrMoPd